1.
Below is a relaxed La2AlHg crystal, with properties calculated at the PBE-GGA level.

Calculated values
calculated total energy: -3.91 eV per atom
distance to the lowest polymorph of the same formula: 0 meV per atom
formation energy from the elements: -0.44 eV/atom
volume: 115 Å³ per cell

Cell lengths 3.7794, 3.7794, 8.0174 Å; angles 90.00, 90.00, 90.00 degrees
Closest atoms and distances in Å follow each position.
Space group P4/mmm (No. 123)
One atom of each set of equivalent atoms:
La1 0.0000 0.0000 0.2373 (multiplicity 2)  4 Al 3.28, 4 Hg 3.40
Al1 0.5000 0.5000 0.0000 (multiplicity 1)  8 La 3.28
Hg1 0.5000 0.5000 0.5000 (multiplicity 1)  8 La 3.40, 4 Hg 3.78


2.
Below is a relaxed PuPdRuO6 crystal, with properties calculated at the PBE-GGA level.

Calculated values
calculated total energy: -7.93 eV per atom
raw formation energy: -1425 meV per atom
volume: 215 Å³ per cell

Cell lengths 5.2194, 5.2194, 9.1136 Å; angles 90.00, 90.00, 120.00 degrees
Closest atoms and distances in Å follow each position.
Space group P-31c (No. 163)
One atom of each set of equivalent atoms:
Pu1 0.3333 0.6667 0.2500 (multiplicity 2)  6 O 2.11
Pd1 0.3333 0.6667 0.7500 (multiplicity 2)  6 O 2.14
Ru1 0.0000 0.0000 0.0000 (multiplicity 2)  6 O 2.01
O1 0.0051 0.3234 0.1211 (multiplicity 12)  1 Ru 2.01, 1 Pu 2.11, 1 Pd 2.14


3.
Below is a relaxed PmNd2In crystal, with properties calculated at the PBE-GGA level.

Calculated values
calculated total energy: -4.39 eV per atom
distance to the lowest polymorph of the same formula: 139 meV per atom
formation energy from the elements: -0.13 eV/atom
volume: 499 Å³ per cell

Cell lengths 7.9327, 7.9327, 7.9327 Å; angles 90.00, 90.00, 90.00 degrees
Closest atoms and distances in Å follow each position.
Space group Fm-3m (No. 225)
One atom of each set of equivalent atoms:
Pm1 0.0000 0.0000 0.0000 (multiplicity 4)  8 Nd 3.43
Nd1 0.2500 0.2500 0.2500 (multiplicity 8)  4 In 3.43, 4 Pm 3.43
In1 0.0000 0.0000 0.5000 (multiplicity 4)  8 Nd 3.43


4.
Below is a relaxed SnHg2Pb2 crystal, with properties calculated at the PBE-GGA level.

Calculated values
calculated total energy: -2.31 eV per atom
distance to the lowest polymorph of the same formula: 70 meV per atom
formation energy from the elements: 0.09 eV/atom
volume: 290 Å³ per cell

Cell lengths 8.7350, 8.7350, 3.8039 Å; angles 90.00, 90.00, 90.00 degrees
Closest atoms and distances in Å follow each position.
Space group P4/mbm (No. 127)
One atom of each set of equivalent atoms:
Sn1 0.0000 0.0000 0.0000 (multiplicity 2)  4 Hg 3.36
Hg1 0.1424 0.3576 0.0000 (multiplicity 4)  6 Pb 3.11-3.24, 2 Sn 3.36
Pb1 0.1580 0.6580 0.5000 (multiplicity 4)  6 Hg 3.11-3.24


5.
Below is a relaxed Hf2FeSi crystal, with properties calculated at the PBE-GGA level.

Calculated values
calculated total energy: -9.03 eV per atom
raw formation energy: -577 meV per atom
volume: 263 Å³ per cell

Cell lengths 3.3110, 19.1132, 4.1571 Å; angles 90.00, 90.00, 90.00 degrees
Closest atoms and distances in Å follow each position.
Space group Cmcm (No. 63)
One atom of each set of equivalent atoms:
Hf1 0.0000 0.0595 0.2500 (multiplicity 4)  6 Fe 2.66-2.83, 2 Si 2.78
Hf2 0.0000 0.3014 0.7500 (multiplicity 4)  5 Si 2.78
Fe1 0.0000 0.4394 0.2500 (multiplicity 4)  2 Si 2.46, 4 Hf 2.66
Si1 0.0000 0.1558 0.7500 (multiplicity 4)  2 Fe 2.46


6.
Below is a relaxed POsRu2 crystal, with properties calculated at the PBE-GGA level.

Calculated values
calculated total energy: -8.82 eV per atom
formation energy from the elements: -0.03 eV/atom
volume: 54 Å³ per cell

Cell lengths 2.8134, 3.8849, 5.1400 Å; angles 90.00, 104.27, 90.00 degrees
Closest atoms and distances in Å follow each position.
Space group P2/m (No. 10)
One atom of each set of equivalent atoms:
P1 0.0000 0.0000 0.0000 (multiplicity 1)  4 Ru 2.38, 2 Os 2.57
Os1 0.0000 0.0000 0.5000 (multiplicity 1)  2 P 2.57, 8 Ru 2.71-2.76, 2 Os 2.81
Ru1 0.3643 0.5000 0.2363 (multiplicity 2)  2 P 2.38, 1 Ru 2.63


7.
Below is a relaxed BaSr2Tl2Cd2 crystal, with properties calculated at the PBE-GGA level.

Calculated values
calculated total energy: -2.00 eV per atom
formation energy from the elements: -0.31 eV/atom
volume: 763 Å³ per cell

Cell lengths 5.2370, 5.2370, 32.1122 Å; angles 90.00, 90.00, 120.00 degrees
Closest atoms and distances in Å follow each position.
Space group R-3m (No. 166, hexagonal axes)
One atom of each set of equivalent atoms:
Ba1 0.0000 0.0000 0.0000 (multiplicity 3)  6 Cd 3.78, 6 Tl 3.96, 2 Sr 4.06
Sr1 0.0000 0.0000 0.1265 (multiplicity 6)  3 Tl 3.38, 3 Cd 3.51
Tl1 0.0000 0.0000 0.2538 (multiplicity 6)  3 Cd 3.04, 3 Sr 3.38
Cd1 0.0000 0.0000 0.4042 (multiplicity 6)  3 Tl 3.04


8.
Below is a relaxed TeSeBrN2 crystal, with properties calculated at the PBE-GGA level.

Calculated values
calculated total energy: -3.63 eV per atom
raw formation energy: 1361 meV per atom
distance to the lowest polymorph of the same formula: 0 meV per atom
volume: 99 Å³ per cell

Cell lengths 3.9727, 3.9727, 6.3042 Å; angles 90.00, 90.00, 90.00 degrees
Closest atoms and distances in Å follow each position.
Space group P4/mmm (No. 123)
One atom of each set of equivalent atoms:
Te1 0.0000 0.0000 0.0000 (multiplicity 1)  4 N 1.99
Se1 0.0000 0.0000 0.5000 (multiplicity 1)  4 Br 2.81
Br1 0.5000 0.5000 0.5000 (multiplicity 1)  4 Se 2.81
N1 0.0000 0.5000 0.0000 (multiplicity 2)  2 Te 1.99


9.
Below is a relaxed Pm3CuN crystal, with properties calculated at the PBE-GGA level.

Calculated values
calculated total energy: -5.83 eV per atom
raw formation energy: -498 meV per atom
volume: 119 Å³ per cell

Cell lengths 4.9129, 4.9129, 4.9129 Å; angles 90.00, 90.00, 90.00 degrees
Closest atoms and distances in Å follow each position.
Space group Pm-3m (No. 221)
One atom of each set of equivalent atoms:
Pm1 0.0000 0.0000 0.5000 (multiplicity 3)  2 N 2.46
Cu1 0.5000 0.5000 0.5000 (multiplicity 1)  12 Pm 3.47
N1 0.0000 0.0000 0.0000 (multiplicity 1)  6 Pm 2.46


10.
Below is a relaxed Rb3Ca2MgF9 crystal, with properties calculated at the PBE-GGA level.

Calculated values
calculated total energy: -5.09 eV per atom
raw formation energy: -3403 meV per atom
volume: 251 Å³ per cell

Cell lengths 6.1780, 6.1780, 7.5829 Å; angles 90.00, 90.00, 120.00 degrees
Closest atoms and distances in Å follow each position.
Space group P-3m1 (No. 164)
One atom of each set of equivalent atoms:
Rb1 0.0000 0.0000 0.0000 (multiplicity 1)  12 F 3.09-3.11
Rb2 0.3333 0.6667 0.6679 (multiplicity 2)  12 F 3.09
Ca1 0.3333 0.6667 0.1794 (multiplicity 2)  6 F 2.24-2.28
Mg1 0.0000 0.0000 0.5000 (multiplicity 1)  6 F 2.04
F1 0.0000 0.5000 0.0000 (multiplicity 3)  2 Ca 2.24
F2 0.1566 0.3132 0.3463 (multiplicity 6)  1 Mg 2.04, 1 Ca 2.28


11.
Below is a relaxed MnTeI2Cl crystal, with properties calculated at the PBE-GGA level.

Calculated values
calculated total energy: -3.33 eV per atom
raw formation energy: 125 meV per atom
distance to the lowest polymorph of the same formula: 0 meV per atom
volume: 154 Å³ per cell

Cell lengths 5.3713, 5.3713, 5.3491 Å; angles 90.00, 90.00, 90.00 degrees
Closest atoms and distances in Å follow each position.
Space group P4/mmm (No. 123)
One atom of each set of equivalent atoms:
Mn1 0.0000 0.0000 0.0000 (multiplicity 1)  2 Te 2.67, 4 I 2.69
Te1 0.0000 0.0000 0.5000 (multiplicity 1)  2 Mn 2.67
I1 0.0000 0.5000 0.0000 (multiplicity 2)  2 Mn 2.69
Cl1 0.5000 0.5000 0.5000 (multiplicity 1)  8 I 3.79, 4 Te 3.80


12.
Below is a relaxed TaGe6Mo2 crystal, with properties calculated at the PBE-GGA level.

Calculated values
calculated total energy: -6.94 eV per atom
formation energy from the elements: -0.14 eV/atom
volume: 284 Å³ per cell

Cell lengths 4.9341, 8.4848, 6.7744 Å; angles 90.00, 90.00, 90.00 degrees
Closest atoms and distances in Å follow each position.
Space group C222 (No. 21)
One atom of each set of equivalent atoms:
Ta1 0.0000 0.0000 0.0000 (multiplicity 2)  10 Ge 2.69-2.84
Ge1 0.0000 0.3337 0.0000 (multiplicity 4)  5 Ge 2.67-2.85, 2 Mo 2.67, 3 Ta 2.83-2.84
Ge2 0.2474 0.4163 0.3352 (multiplicity 8)  5 Ge 2.65-2.87, 4 Mo 2.65-2.85, 1 Ta 2.69
Mo1 0.2500 0.2500 0.6661 (multiplicity 4)  10 Ge 2.65-2.85